Material: Ca6Sb3As
Method: DFT, GGA-PBE
State: optimized geometry

Geometry as extended XYZ:
```
20
Lattice="7.654 0.000 0.000 0.000 8.167 0.000 -7.480 0.000 10.890" Properties=species:S:1:pos:R:3 pbc="T T T"
Ca -1.055 0.592 2.641
Ca -4.795 3.492 8.086
Ca 1.405 5.734 0.853
Ca -2.335 6.516 6.298
Ca 2.364 1.478 0.677
Ca -1.376 2.606 6.122
Ca 1.550 5.561 4.768
Ca -2.190 6.689 10.213
Ca 2.509 1.650 4.593
Ca -1.231 2.433 10.038
Ca 4.970 4.675 2.804
Ca 1.230 7.575 8.249
Sb -3.501 0.618 8.225
Sb 0.239 3.466 2.780
Sb 0.087 0.000 5.445
Sb 3.827 4.083 0.000
Sb -0.065 4.701 8.110
Sb 3.675 7.549 2.665
As 0.000 0.000 0.000
As -3.740 4.083 5.445
```

Results
Raw formation energy: -1.00 eV per atom
Theoretical density: 3.321 g/cm³